Entry from Alexandria via LeMat-Bulk: crystalline CsBH3 at its relaxed geometry (PBE).

Cell lengths 5.285, 8.614, 8.813 Å; angles 90.00, 90.00, 90.00 degrees
Fractional positions:
1 Cs 0.000 0.000 0.000
2 Cs 0.000 0.000 0.500
3 Cs 0.500 0.500 0.000
4 Cs 0.500 0.500 0.500
5 B 0.051 0.684 0.250
6 B 0.449 0.184 0.250
7 B 0.551 0.816 0.750
8 B 0.949 0.316 0.750
9 H 0.977 0.630 0.131
10 H 0.023 0.370 0.631
11 H 0.977 0.630 0.369
12 H 0.023 0.370 0.869
13 H 0.266 0.269 0.250
14 H 0.234 0.769 0.250
15 H 0.523 0.130 0.369
16 H 0.523 0.130 0.131
17 H 0.477 0.870 0.631
18 H 0.477 0.870 0.869
19 H 0.766 0.231 0.750
20 H 0.734 0.731 0.750

Computed properties:
Excess energy over the best structure of this formula in the dataset: 0 meV/atom
Magnetic moment: 1.000 μB per formula unit

=====

Entry from Alexandria via LeMat-Bulk: crystalline ZrAlPd3 at its relaxed geometry (PBE).

Cell lengths 4.559, 5.592, 6.738 Å; angles 90.00, 90.00, 90.00 degrees
Fractional positions:
1 Zr 0.750 0.250 0.173
2 Zr 0.250 0.750 0.827
3 Al 0.750 0.750 0.433
4 Al 0.250 0.250 0.567
5 Pd 0.750 0.750 0.075
6 Pd 0.250 0.250 0.925
7 Pd 0.750 0.016 0.724
8 Pd 0.750 0.484 0.724
9 Pd 0.250 0.984 0.276
10 Pd 0.250 0.516 0.276

Computed properties:
Energy of formation from the pure elements: -3.43 eV per formula unit
Excess energy over the best structure of this formula in the dataset: 0 meV/atom
Magnetic moment: 0.000 μB per formula unit

=====

Entry from Alexandria via LeMat-Bulk: crystalline Y2Hg9Pb at its relaxed geometry (PBE).

Cell lengths 4.610, 4.610, 14.267 Å; angles 90.00, 90.00, 90.00 degrees
Fractional positions:
1 Y 0.000 0.000 0.331
2 Y 0.000 0.000 0.669
3 Hg 0.500 0.500 0.000
4 Hg 0.500 0.500 0.344
5 Hg 0.500 0.500 0.656
6 Hg 0.500 0.000 0.176
7 Hg 0.500 0.000 0.500
8 Hg 0.500 0.000 0.824
9 Hg 0.000 0.500 0.176
10 Hg 0.000 0.500 0.500
11 Hg 0.000 0.500 0.824
12 Pb 0.000 0.000 0.000

Computed properties:
Energy of formation from the pure elements: -2.61 eV per formula unit
Magnetic moment: 0.000 μB per formula unit